## SrLiSb2 (PBE)

Data for a relaxed structure of SrLiSb2.

POSCAR file:
```
SrLiSb2
1.0
0.000 3.852 3.852
3.852 0.000 3.852
3.852 3.852 0.000
Sr Li Sb
1 1 2
direct
0.000 0.000 0.000
0.500 0.500 0.500
0.250 0.250 0.250
0.750 0.750 0.750
```

Calculated values
DOS at the Fermi energy = 0.599 states/eV per atom
Crystal system = cubic
Electronic total energy = -3.4450 eV/atom
Symmetry = Fm-3m
E above lowest polymorph = 119 meV/atom
ΔE_f (raw) = -485 meV/atom